Record 1
MgPt2I at its PBEsol-relaxed geometry, computed with SCAN.

a = 4.687 Å, b = 4.687 Å, c = 4.687 Å
α = 60.00°, β = 60.00°, γ = 60.00°
Element x y z (fractional)
1 Mg 0.000 0.000 0.000
2 Pt 0.250 0.250 0.250
3 Pt 0.750 0.750 0.750
4 I 0.500 0.500 0.500

Output
Its symmetry is No. 225. The crystal system is cubic. The calculation puts the formation energy (no corrections) at 0.59 eV/f.u. As for the uncorrected energy: -45.3779 eV per atom.



Record 2
PbC at its PBEsol-relaxed geometry, computed with SCAN.

a = 2.762 Å, b = 3.445 Å, c = 7.701 Å
α = 90.00°, β = 90.00°, γ = 90.00°
Element x y z (fractional)
1 Pb 0.250 0.000 0.215
2 Pb 0.750 0.000 0.785
3 C 0.250 0.500 0.468
4 C 0.750 0.500 0.532

Output
Its symmetry is No. 51. The formation energy is 0.959 eV per atom. The crystal system is orthorhombic. As for the uncorrected energy: -41.9817 eV per atom.



Record 3
TaPtO2 at its PBEsol-relaxed geometry, computed with SCAN.

a = 6.898 Å, b = 6.898 Å, c = 6.898 Å
α = 146.14°, β = 146.14°, γ = 48.64°
Element x y z (fractional)
1 Ta 0.000 0.000 0.000
2 Ta 0.750 0.250 0.500
3 Pt 0.250 0.750 0.500
4 Pt 0.500 0.500 0.000
5 O 0.060 0.625 0.935
6 O 0.375 0.310 0.435
7 O 0.690 0.125 0.065
8 O 0.875 0.940 0.565

Output
Its symmetry is No. 122. The crystal system is tetragonal. The calculation puts the formation energy (no corrections) at -4.62 eV/f.u. As for the uncorrected energy: -38.4654 eV per atom.



Record 4
CaLa2Cr at its PBEsol-relaxed geometry, computed with SCAN.

a = 3.663 Å, b = 3.663 Å, c = 8.902 Å
α = 90.00°, β = 90.00°, γ = 90.00°
Element x y z (fractional)
1 Ca 0.000 0.000 0.000
2 La 0.000 0.000 0.404
3 La 0.500 0.500 0.677
4 Cr 0.500 0.500 0.217

Output
Its symmetry is No. 99. The formation energy is 0.189 eV per atom. The crystal system is tetragonal. As for the uncorrected energy: -28.3754 eV per atom.



Record 5
Mg2ScCrSe at its PBEsol-relaxed geometry, computed with SCAN.

a = 4.941 Å, b = 4.941 Å, c = 4.988 Å
α = 90.00°, β = 90.00°, γ = 90.00°
Element x y z (fractional)
1 Mg 0.000 0.500 0.000
2 Mg 0.500 0.000 0.000
3 Sc 0.000 0.000 0.500
4 Cr 0.500 0.500 0.500
5 Se 0.000 0.000 0.000

Output
Its symmetry is No. 123. The crystal system is tetragonal. The calculation puts the formation energy (no corrections) at 0.14 eV/f.u. As for the uncorrected energy: -12.5018 eV per atom.



Record 6
CaSi2Mo at its PBEsol-relaxed geometry, computed with SCAN.

a = 4.203 Å, b = 4.203 Å, c = 3.741 Å
α = 90.00°, β = 90.00°, γ = 90.00°
Element x y z (fractional)
1 Ca 0.000 0.000 0.000
2 Si 0.000 0.500 0.500
3 Si 0.500 0.000 0.500
4 Mo 0.500 0.500 0.000

Output
Its symmetry is No. 123. The crystal system is tetragonal. The calculation puts the formation energy (no corrections) at 1.63 eV/f.u. As for the uncorrected energy: -15.7365 eV per atom.



Calculated theoretical density (kg/m³), listed in the same order as above: 12346 9934 13356 5142 3062 4829